No. 1
Compound: TaGa2H6
Source: Alexandria via LeMat-Bulk
Functional: PBE-GGA
Structure: relaxed

Cell and atoms, written as POSCAR:
```
TaGa2H6
1.0
-4.3928 -1.8422 -0.8376
-2.1654 -2.7158 3.3656
-3.8381 1.7163 2.3907
Ga H Ta
2 6 1
Cartesian
-2.5991 -0.7104 1.2297
-7.7973 -2.1313 3.6890
-6.5973 -0.8235 2.0412
-5.5697 -1.2265 3.9803
-5.8256 -2.8681 2.4910
-3.7991 -2.0183 2.8774
-4.5708 0.0264 2.4277
-4.8266 -1.6152 0.9384
0.0000 0.0000 0.0000
```

Summary:
**Calculated volume**: 80 Å³ per cell
**Uncorrected energy**: -3.95 eV per atom
**Density of states at the Fermi level**: 1.2 states/eV per cell

No. 2
Compound: Ca2HfCr
Source: Alexandria via LeMat-Bulk
Functional: PBE-GGA
Structure: relaxed

Cell and atoms, written as POSCAR:
```
Ca2HfCr
1.0
10.1934 0.0000 0.0000
0.0000 10.1934 0.0000
5.0967 5.0967 2.4998
Ca Cr Hf
4 2 2
Cartesian
12.7417 11.4716 1.8748
3.8185 7.6450 0.6249
7.6450 8.9152 1.8748
6.3749 2.5483 0.6249
5.0967 10.1934 1.2499
5.0967 5.0967 0.0000
10.1934 5.0967 1.2499
0.0000 0.0000 0.0000
```

Summary:
**Calculated volume**: 260 Å³ per cell
**Uncorrected energy**: -4.92 eV per atom
**Excess energy over the best structure of this formula in the dataset**: 0 meV/atom
**Density of states at the Fermi level**: 6.4 states/eV per cell
**ΔE_f**: 0.978 eV per atom

No. 3
Compound: Ti2BI2
Source: Alexandria via LeMat-Bulk
Functional: PBE-GGA
Structure: relaxed

Cell and atoms, written as POSCAR:
```
Ti2BI2
1.0
3.8497 0.0000 0.0000
0.0000 3.8497 0.0000
1.9248 1.9248 8.1290
Ti I B
2 2 1
Cartesian
1.9248 3.8497 4.0645
3.8497 1.9248 4.0645
1.9248 1.9248 1.9847
3.8497 3.8497 6.1443
0.0000 0.0000 0.0000
```

Summary:
**Energy relative to the elements, uncorrected**: 833 meV per atom
**Calculated volume**: 120 Å³ per cell
**Uncorrected energy**: -4.28 eV per atom
**Excess energy over the best structure of this formula in the dataset**: 0 meV/atom
**Density of states at the Fermi level**: 3.3 states/eV per cell